Entry 1:
VASP calculation (GGA-PBE) on an optimized crystal structure of BaRuN2F.

Properties
SG   P4/mmm, No. 123
Formation energy from raw total energies   1566 meV per atom
Excess energy over the best structure of this formula in the dataset   2285 meV per atom
Total energy   -4.38 eV/atom
DOS at the Fermi energy   3.5 states/eV/cell

Lattice parameters (Å, degrees): 4.729 4.729 4.803 90.00 90.00 90.00
Positions (direct):
Ba (0.000, 0.000, 0.000)
Ru (0.500, 0.500, 0.500)
N (0.000, 0.500, 0.000)
N (0.500, 0.000, 0.000)
F (0.000, 0.000, 0.500)

=====

Entry 2:
VASP calculation (GGA-PBE) on an optimized crystal structure of Sc6ZnPt5.

Properties
SG   Immm, No. 71
ΔH_f (0 K)   -107.3 kJ/mol of atoms
Total energy   -6.90 eV/atom
DOS at the Fermi energy   7.8 states/eV/cell

Lattice parameters (Å, degrees): 8.133 8.133 8.133 146.52 132.48 59.38
Positions (direct):
Sc (0.079, 0.332, 0.747)
Sc (0.244, 0.000, 0.244)
Sc (0.414, 0.668, 0.747)
Sc (0.586, 0.332, 0.253)
Sc (0.756, 0.000, 0.756)
Sc (0.921, 0.668, 0.253)
Zn (0.500, 0.500, 0.000)
Pt (0.000, 0.500, 0.500)
Pt (0.173, 0.173, 0.000)
Pt (0.342, 0.842, 0.500)
Pt (0.658, 0.158, 0.500)
Pt (0.827, 0.827, 0.000)

=====

Entry 3:
VASP calculation (GGA-PBE) on an optimized crystal structure of AlSb2Te.

Properties
SG   P4/mmm, No. 123
Formation energy from raw total energies   187 meV per atom
Excess energy over the best structure of this formula in the dataset   274 meV per atom
Total energy   -3.60 eV/atom
DOS at the Fermi energy   2.0 states/eV/cell

Lattice parameters (Å, degrees): 3.450 3.450 8.914 90.00 90.00 90.00
Positions (direct):
Al (0.000, 0.000, 0.000)
Sb (0.500, 0.500, 0.183)
Sb (0.500, 0.500, 0.817)
Te (0.000, 0.000, 0.500)

=====

Entry 4:
VASP calculation (GGA-PBE) on an optimized crystal structure of Cd2FeHg.

Properties
SG   P4/mmm, No. 123
ΔH_f (0 K)   22.9 kJ/mol of atoms
Total energy   -2.41 eV/atom
DOS at the Fermi energy   2.1 states/eV/cell

Lattice parameters (Å, degrees): 2.966 2.966 8.848 90.00 90.00 90.00
Positions (direct):
Cd (0.000, 0.000, 0.213)
Cd (0.000, 0.000, 0.787)
Fe (0.500, 0.500, 0.000)
Hg (0.500, 0.500, 0.500)

=====

Entry 5:
VASP calculation (GGA-PBE) on an optimized crystal structure of AgWBr.

Properties
SG   P-6m2, No. 187
Formation energy from raw total energies   1106 meV per atom
Excess energy over the best structure of this formula in the dataset   481 meV per atom
Total energy   -4.72 eV/atom
DOS at the Fermi energy   2.8 states/eV/cell

Lattice parameters (Å, degrees): 4.617 4.617 2.954 90.00 90.00 120.00
Positions (direct):
Ag (0.000, 0.000, 0.000)
W (0.333, 0.667, 0.500)
Br (0.667, 0.333, 0.500)

=====

Entry 6:
VASP calculation (GGA-PBE) on an optimized crystal structure of Tb2Dy4Ho.

Properties
SG   P2_1/m, No. 11
ΔH_f (0 K)   13.3 kJ/mol of atoms
Total energy   -4.47 eV/atom
DOS at the Fermi energy   23.9 states/eV/cell

Lattice parameters (Å, degrees): 6.038 6.555 11.508 90.00 104.51 90.00
Positions (direct):
Tb (0.101, 0.250, 0.496)
Tb (0.215, 0.250, 0.072)
Tb (0.785, 0.750, 0.928)
Tb (0.899, 0.750, 0.504)
Dy (0.150, 0.005, 0.788)
Dy (0.150, 0.495, 0.788)
Dy (0.348, 0.750, 0.057)
Dy (0.478, 0.750, 0.644)
Dy (0.522, 0.250, 0.356)
Dy (0.652, 0.250, 0.943)
Dy (0.850, 0.505, 0.212)
Dy (0.850, 0.995, 0.212)
Ho (0.350, 0.750, 0.343)
Ho (0.650, 0.250, 0.657)

=====

Entry 7:
VASP calculation (GGA-PBE) on an optimized crystal structure of PrScCu3.

Properties
SG   Cmcm, No. 63
ΔH_f (0 K)   -18.7 kJ/mol of atoms
Total energy   -4.87 eV/atom
DOS at the Fermi energy   8.5 states/eV/cell

Lattice parameters (Å, degrees): 12.620 12.620 4.259 90.00 90.00 163.40
Positions (direct):
Pr (0.076, 0.924, 0.750)
Pr (0.924, 0.076, 0.250)
Sc (0.209, 0.791, 0.250)
Sc (0.791, 0.209, 0.750)
Cu (0.319, 0.681, 0.250)
Cu (0.373, 0.627, 0.750)
Cu (0.474, 0.526, 0.750)
Cu (0.526, 0.474, 0.250)
Cu (0.627, 0.373, 0.250)
Cu (0.681, 0.319, 0.750)

=====

Entry 8:
VASP calculation (GGA-PBE) on an optimized crystal structure of FeIr4Rh.

Properties
SG   Cmc2_1, No. 36
ΔH_f (0 K)   -1.4 kJ/mol of atoms
Excess energy over the best structure of this formula in the dataset   19 meV per atom
Total energy   -8.56 eV/atom
DOS at the Fermi energy   14.3 states/eV/cell

Lattice parameters (Å, degrees): 7.174 7.174 8.830 90.00 90.00 158.07
Positions (direct):
Fe (0.168, 0.832, 0.500)
Fe (0.832, 0.168, 0.000)
Ir (0.055, 0.945, 0.750)
Ir (0.167, 0.833, 0.002)
Ir (0.387, 0.613, 0.751)
Ir (0.495, 0.505, 0.000)
Ir (0.505, 0.495, 0.500)
Ir (0.613, 0.387, 0.251)
Ir (0.833, 0.167, 0.502)
Ir (0.945, 0.055, 0.250)
Rh (0.279, 0.721, 0.250)
Rh (0.721, 0.279, 0.750)